Record 1
Compound: LaHfPd2
Source: Alexandria
Functional: PBE-GGA
Structure: optimized geometry

Cell: 3.355 3.355 7.599 Å, 90.00 90.00 90.00°
Space group P4/mmm (No. 123)
Inequivalent atoms, fractional coordinates:
1 La 0.000 0.000 0.000
2 Hf 0.000 0.000 0.500
3 Pd 0.500 0.500 0.302

**Offset from the most stable computed form**: 0 meV/atom
**ΔH_f (0 K)**: -0.691 eV/atom
**Energy**: -7.008 eV/atom
**M_tot**: 0.00 μB/f.u.

***

Record 2
Compound: CsUAlTe4
Source: Alexandria
Functional: PBE-GGA
Structure: optimized geometry

Cell: 7.130 7.651 10.546 Å, 90.00 109.14 90.00°
Space group P2_1/m (No. 11)
Inequivalent atoms, fractional coordinates:
1 Cs 0.183 0.250 0.453
2 U 0.329 0.750 0.051
3 Al 0.117 0.250 0.844
4 Te 0.118 0.250 0.089
5 Te 0.244 0.750 0.322
6 Te 0.332 0.513 0.802

**Energy**: -4.762 eV/atom
**M_tot**: 2.00 μB/f.u.
**Formation energy (no corrections)**: -0.698 eV/atom

***

Record 3
Compound: SrDyAgF6
Source: Alexandria
Functional: PBE-GGA
Structure: optimized geometry

Cell: 6.0186 6.0186 10.5068 Å, 90.00 90.00 120.00°
Space group P-31c (No. 163)
Inequivalent atoms, fractional coordinates:
1 Sr 0.0000 0.0000 0.0000
2 Dy 0.3333 0.6667 0.2500
3 Ag 0.3333 0.6667 0.7500
4 F 0.0401 0.3542 0.1332

**Energy**: -5.591 eV/atom
**M_tot**: 0.14 μB/f.u.
**Formation energy (no corrections)**: -3.329 eV/atom

***

Record 4
Compound: PaAgSe3
Source: Alexandria
Functional: PBE-GGA
Structure: optimized geometry

Cell: 7.291 12.541 6.767 Å, 90.00 115.08 90.00°
Space group C2/m (No. 12)
Inequivalent atoms, fractional coordinates:
1 Pa 0.000 0.167 0.000
2 Ag 0.000 0.327 0.500
3 Se 0.231 0.000 0.260
4 Se 0.240 0.171 0.767

**Offset from the most stable computed form**: 0 meV/atom
**Energy**: -5.493 eV/atom
**M_tot**: 0.00 μB/f.u.
**Formation energy (no corrections)**: -0.933 eV/atom

***

Record 5
Compound: Cr2RhPb
Source: Alexandria
Functional: PBE-GGA
Structure: optimized geometry

Cell: 3.078 3.078 7.087 Å, 90.00 90.00 90.00°
Space group P4mm (No. 99)
Inequivalent atoms, fractional coordinates:
1 Cr 0.000 0.000 0.000
2 Cr 0.500 0.500 0.189
3 Rh 0.500 0.500 0.785
4 Pb 0.000 0.000 0.503

**ΔH_f (0 K)**: 0.332 eV/atom
**Energy**: -7.245 eV/atom
**M_tot**: 0.34 μB/f.u.

***

Record 6
Compound: LaY2Ru
Source: Alexandria
Functional: PBE-GGA
Structure: optimized geometry

Cell: 3.8649 3.8649 28.3742 Å, 90.00 90.00 120.00°
Space group R3m (No. 160, hexagonal axes)
Inequivalent atoms, fractional coordinates:
1 La 0.0000 0.0000 0.0000
2 Y 0.0000 0.0000 0.5511
3 Y 0.0000 0.0000 0.7795
4 Ru 0.0000 0.0000 0.2775

**Offset from the most stable computed form**: 289 meV/atom
**ΔH_f (0 K)**: -0.001 eV/atom
**Energy**: -6.783 eV/atom
**M_tot**: 0.00 μB/f.u.

***

Record 7
Compound: NaTaOF2
Source: Alexandria
Functional: PBE-GGA
Structure: optimized geometry

Cell: 3.747 3.747 4.287 Å, 90.00 90.00 90.00°
Space group P4/mmm (No. 123)
Inequivalent atoms, fractional coordinates:
1 Na 0.000 0.000 0.000
2 Ta 0.500 0.500 0.500
3 O 0.000 0.000 0.500
4 F 0.000 0.500 0.000

**Offset from the most stable computed form**: 1291 meV/atom
**Energy**: -5.224 eV/atom
**M_tot**: 1.94 μB/f.u.
**Formation energy (no corrections)**: -0.850 eV/atom

***

Record 8
Compound: TbSc3Ni4
Source: Alexandria
Functional: PBE-GGA
Structure: optimized geometry

Cell: 4.5300 4.5300 22.7863 Å, 90.00 90.00 120.00°
Space group R-3m (No. 166, hexagonal axes)
Inequivalent atoms, fractional coordinates:
1 Tb 0.0000 0.0000 0.0000
2 Sc 0.0000 0.0000 0.2465
3 Sc 0.0000 0.0000 0.5000
4 Ni 0.0000 0.0000 0.1275
5 Ni 0.0000 0.0000 0.3842

**ΔH_f (0 K)**: -0.455 eV/atom
**Energy**: -6.299 eV/atom
**M_tot**: 0.00 μB/f.u.

***

Record 9
Compound: ZnHPb2
Source: Alexandria
Functional: PBE-GGA
Structure: optimized geometry

Cell: 6.938 6.938 6.938 Å, 90.00 90.00 90.00°
Space group Fm-3m (No. 225)
Inequivalent atoms, fractional coordinates:
1 Zn 0.000 0.000 0.000
2 H 0.000 0.000 0.500
3 Pb 0.250 0.250 0.250

**Offset from the most stable computed form**: 8 meV/atom
**Energy**: -2.593 eV/atom
**M_tot**: 0.00 μB/f.u.

***

Record 10
Compound: LiCdAs
Source: Alexandria
Functional: PBE-GGA
Structure: optimized geometry

Cell: 4.3610 4.3610 3.6624 Å, 90.00 90.00 120.00°
Space group P3m1 (No. 156)
Inequivalent atoms, fractional coordinates:
1 Li 0.0000 0.0000 0.0000
2 Cd 0.3333 0.6667 0.5260
3 As 0.6667 0.3333 0.1988

**ΔH_f (0 K)**: -0.220 eV/atom
**Energy**: -2.713 eV/atom
**M_tot**: 0.00 μB/f.u.

***

Record 11
Compound: NiPtW4
Source: Alexandria
Functional: PBE-GGA
Structure: optimized geometry

Cell: 7.351 7.351 7.351 Å, 90.00 90.00 90.00°
Space group F-43m (No. 216)
Inequivalent atoms, fractional coordinates:
1 Ni 0.000 0.000 0.000
2 Pt 0.250 0.250 0.750
3 W 0.126 0.126 0.374

**ΔH_f (0 K)**: 0.541 eV/atom
**Energy**: -10.064 eV/atom
**M_tot**: 0.00 μB/f.u.

***

Record 12
Compound: LiAlNi2
Source: Alexandria
Functional: PBE-GGA
Structure: optimized geometry

Cell: 8.955 2.684 4.185 Å, 90.00 108.74 90.00°
Space group Cm (No. 8)
Inequivalent atoms, fractional coordinates:
1 Li 0.000 0.000 0.000
2 Al 0.275 0.500 0.360
3 Ni 0.016 0.500 0.507
4 Ni 0.249 0.000 0.846

**ΔH_f (0 K)**: -0.308 eV/atom
**Energy**: -4.612 eV/atom
**M_tot**: 0.00 μB/f.u.

***

Record 13
Compound: SrCa2W
Source: Alexandria
Functional: PBE-GGA
Structure: optimized geometry

Cell: 11.406 3.296 6.407 Å, 90.00 99.81 90.00°
Space group C2/m (No. 12)
Inequivalent atoms, fractional coordinates:
1 Sr 0.000 0.000 0.000
2 Ca 0.226 0.000 0.714
3 W 0.000 0.500 0.500

**Offset from the most stable computed form**: 87 meV/atom
**ΔH_f (0 K)**: 0.928 eV/atom
**Energy**: -3.731 eV/atom
**M_tot**: 0.00 μB/f.u.

***

Record 14
Compound: CaPm3Si2
Source: Alexandria
Functional: PBE-GGA
Structure: optimized geometry

Cell: 16.965 4.980 7.794 Å, 90.00 100.13 90.00°
Space group C2/m (No. 12)
Inequivalent atoms, fractional coordinates:
1 Ca 0.165 0.000 0.258
2 Pm 0.042 0.000 0.759
3 Pm 0.139 0.500 0.504
4 Pm 0.169 0.500 0.959
5 Si 0.033 0.500 0.150
6 Si 0.212 0.000 0.700

**Energy**: -4.874 eV/atom
**M_tot**: 0.00 μB/f.u.
**Formation energy (no corrections)**: -0.358 eV/atom

***

Record 15
Compound: Mg2MnAs
Source: Alexandria
Functional: PBE-GGA
Structure: optimized geometry

Cell: 5.710 8.497 2.998 Å, 90.00 90.00 90.00°
Space group Cmmm (No. 65)
Inequivalent atoms, fractional coordinates:
1 Mg 0.250 0.250 0.000
2 Mn 0.000 0.000 0.500
3 As 0.000 0.500 0.500

**ΔH_f (0 K)**: 0.011 eV/atom
**Energy**: -4.241 eV/atom
**M_tot**: 3.73 μB/f.u.

***

Record 16
Compound: BaLiLaTe3
Source: Alexandria
Functional: PBE-GGA
Structure: optimized geometry

Cell: 4.676 15.104 12.012 Å, 90.00 90.00 90.00°
Space group Cmcm (No. 63)
Inequivalent atoms, fractional coordinates:
1 Ba 0.000 0.249 0.250
2 Li 0.000 0.474 0.750
3 La 0.000 0.000 0.000
4 Te 0.000 0.077 0.750
5 Te 0.000 0.362 0.567

**Energy**: -4.566 eV/atom
**M_tot**: 0.00 μB/f.u.
**Formation energy (no corrections)**: -1.535 eV/atom

***

Record 17
Compound: CaTbDyTl
Source: Alexandria
Functional: PBE-GGA
Structure: optimized geometry

Cell: 7.804 7.804 7.804 Å, 90.00 90.00 90.00°
Space group F-43m (No. 216)
Inequivalent atoms, fractional coordinates:
1 Ca 0.000 0.000 0.000
2 Tb 0.250 0.250 0.250
3 Dy 0.250 0.250 0.750
4 Tl 0.000 0.000 0.500

**ΔH_f (0 K)**: -0.043 eV/atom
**Energy**: -3.443 eV/atom
**M_tot**: 0.00 μB/f.u.

***

Record 18
Compound: Tb3SeS2
Source: Alexandria
Functional: PBE-GGA
Structure: optimized geometry

Cell: 4.027 13.444 10.796 Å, 90.00 90.00 90.00°
Space group Cmcm (No. 63)
Inequivalent atoms, fractional coordinates:
1 Tb 0.000 0.098 0.250
2 Tb 0.000 0.356 0.057
3 Se 0.000 0.245 0.750
4 S 0.000 0.000 0.000
5 S 0.000 0.474 0.250

**Offset from the most stable computed form**: 344 meV/atom
**Energy**: -5.849 eV/atom
**M_tot**: 0.00 μB/f.u.
**Formation energy (no corrections)**: -1.577 eV/atom

***

Record 19
Compound: Ni4MoAu
Source: Alexandria
Functional: PBE-GGA
Structure: optimized geometry

Cell: 6.709 6.709 6.709 Å, 90.00 90.00 90.00°
Space group F-43m (No. 216)
Inequivalent atoms, fractional coordinates:
1 Ni 0.125 0.125 0.125
2 Mo 0.000 0.000 0.500
3 Au 0.250 0.250 0.750

**ΔH_f (0 K)**: 0.032 eV/atom
**Energy**: -6.174 eV/atom
**M_tot**: 0.01 μB/f.u.

***

Record 20
Compound: Ca2ThZnN4
Source: Alexandria
Functional: PBE-GGA
Structure: optimized geometry

Cell: 3.475 11.551 11.749 Å, 90.00 90.00 90.00°
Space group Cmcm (No. 63)
Inequivalent atoms, fractional coordinates:
1 Ca 0.000 0.133 0.050
2 Th 0.000 0.394 0.250
3 Zn 0.000 0.346 0.750
4 N 0.000 0.049 0.250
5 N 0.000 0.216 0.637
6 N 0.000 0.500 0.000

**Energy**: -6.355 eV/atom
**M_tot**: 1.78 μB/f.u.
**Formation energy (no corrections)**: -0.605 eV/atom

***

Record 21
Compound: Sr2WBr
Source: Alexandria
Functional: PBE-GGA
Structure: optimized geometry

Cell: 4.594 4.594 12.812 Å, 90.00 90.00 90.00°
Space group I-4m2 (No. 119)
Inequivalent atoms, fractional coordinates:
1 Sr 0.000 0.000 0.000
2 Sr 0.000 0.500 0.250
3 W 0.000 0.500 0.750
4 Br 0.000 0.000 0.500

**Offset from the most stable computed form**: 455 meV/atom
**Energy**: -3.868 eV/atom
**M_tot**: 4.06 μB/f.u.
**Formation energy (no corrections)**: 0.629 eV/atom

***

Record 22
Compound: LiIr2C
Source: Alexandria
Functional: PBE-GGA
Structure: optimized geometry

Cell: 6.697 6.697 4.610 Å, 90.00 90.00 90.00°
Space group I-42d (No. 122)
Inequivalent atoms, fractional coordinates:
1 Li 0.000 0.000 0.000
2 Ir 0.136 0.250 0.625
3 C 0.000 0.000 0.500

**Offset from the most stable computed form**: 0 meV/atom
**ΔH_f (0 K)**: 0.149 eV/atom
**Energy**: -7.066 eV/atom
**M_tot**: 0.00 μB/f.u.

***

Record 23
Compound: Er2Al3Tc
Source: Alexandria
Functional: PBE-GGA
Structure: optimized geometry

Cell: 5.4720 5.4720 8.9113 Å, 90.00 90.00 120.00°
Space group P6_3/mmc (No. 194)
Inequivalent atoms, fractional coordinates:
1 Er 0.3333 0.6667 0.0520
2 Al 0.1628 0.3255 0.7500
3 Tc 0.0000 0.0000 0.0000

**Offset from the most stable computed form**: 0 meV/atom
**ΔH_f (0 K)**: -0.527 eV/atom
**Energy**: -5.647 eV/atom
**M_tot**: 0.00 μB/f.u.

***

Record 24
Compound: Y2AgH
Source: Alexandria
Functional: PBE-GGA
Structure: optimized geometry

Cell: 3.6648 3.6648 21.7571 Å, 90.00 90.00 120.00°
Space group R-3m (No. 166, hexagonal axes)
Inequivalent atoms, fractional coordinates:
1 Y 0.0000 0.0000 0.2294
2 Ag 0.0000 0.0000 0.0000
3 H 0.0000 0.0000 0.5000

**Offset from the most stable computed form**: 68 meV/atom
**Energy**: -4.978 eV/atom
**M_tot**: 0.00 μB/f.u.

***

Record 25
Compound: Ba2SrScZn
Source: Alexandria
Functional: PBE-GGA
Structure: optimized geometry

Cell: 6.614 6.614 5.614 Å, 90.00 90.00 90.00°
Space group P4/mmm (No. 123)
Inequivalent atoms, fractional coordinates:
1 Ba 0.000 0.500 0.000
2 Sr 0.000 0.000 0.000
3 Sc 0.000 0.000 0.500
4 Zn 0.500 0.500 0.500

**ΔH_f (0 K)**: 0.995 eV/atom
**Energy**: -1.632 eV/atom
**M_tot**: 0.00 μB/f.u.